# Zr3Cd (SCAN, single point on PBEsol structure)
# * total magnetization: 0.0 Bohr magnetons per cell
# * DOS(E_F): 0.906 states/eV per atom
# * energy relative to the elements: -0.09 eV per atom
# * total DFT energy (no corrections): -122.9 eV/cell
data_Zr3Cd
_cell_length_a 3.1565
_cell_length_b 4.0666
_cell_length_c 6.6037
_cell_angle_alpha 90.00
_cell_angle_beta 90.00
_cell_angle_gamma 90.00
_symmetry_space_group_name_H-M 'P m m m'
_symmetry_Int_Tables_number 47
loop_
_symmetry_equiv_pos_as_xyz
'x,y,z'
'-x,-y,-z'
'-x,-y,z'
'x,y,-z'
'x,-y,-z'
'-x,y,z'
'-x,y,-z'
'x,-y,z'
loop_
_atom_site_label
_atom_site_type_symbol
_atom_site_fract_x
_atom_site_fract_y
_atom_site_fract_z
Zr1 Zr 0.0000 0.0000 0.0000
Zr2 Zr 0.5000 0.5000 0.2511
Cd1 Cd 0.0000 0.0000 0.5000

# ZrCd2 (SCAN, single point on PBEsol structure)
# * total magnetization: 0.0 Bohr magnetons per cell
# * DOS(E_F): 0.598 states/eV per atom
# * energy relative to the elements: -0.06 eV per atom
# * total DFT energy (no corrections): -366.9 eV/cell
data_ZrCd2
_cell_length_a 11.7275
_cell_length_b 2.9547
_cell_length_c 7.4263
_cell_angle_alpha 90.00
_cell_angle_beta 103.98
_cell_angle_gamma 90.00
_symmetry_space_group_name_H-M 'C 1 m 1'
_symmetry_Int_Tables_number 8
loop_
_symmetry_equiv_pos_as_xyz
'x,y,z'
'x,-y,z'
'x+1/2,y+1/2,z'
'x+1/2,-y+1/2,z'
loop_
_atom_site_label
_atom_site_type_symbol
_atom_site_fract_x
_atom_site_fract_y
_atom_site_fract_z
Zr1 Zr 0.0000 0.0000 0.0000
Zr2 Zr 0.1578 0.5000 0.3124
Cd1 Cd 0.1002 0.5000 0.7025
Cd2 Cd 0.2700 0.0000 0.0332
Cd3 Cd 0.3271 0.0000 0.6577
Cd4 Cd 0.4340 0.5000 0.3734

# ZrCd2 (SCAN, single point on PBEsol structure)
# * total magnetization: 0.0 Bohr magnetons per cell
# * DOS(E_F): 0.857 states/eV per atom
# * energy relative to the elements: -0.07 eV per atom
# * total DFT energy (no corrections): -366.9 eV/cell
data_ZrCd2
_cell_length_a 2.9672
_cell_length_b 2.9672
_cell_length_c 28.6828
_cell_angle_alpha 90.00
_cell_angle_beta 90.00
_cell_angle_gamma 90.00
_symmetry_space_group_name_H-M 'I 41/a m d'
_symmetry_Int_Tables_number 141
loop_
_symmetry_equiv_pos_as_xyz
'x,y,z'
'-x,-y,-z'
'-y+1/4,x+3/4,z+1/4'
'y+1/4,-x+3/4,-z+1/4'
'-x+1/2,-y,z+1/2'
'x+1/2,y,-z+1/2'
'y+1/4,-x+1/4,z+3/4'
'-y+1/4,x+1/4,-z+3/4'
'x,-y,-z'
'-x,y,z'
'-y+1/4,-x+1/4,-z+3/4'
'y+1/4,x+1/4,z+3/4'
'-x+1/2,y,-z+1/2'
'x+1/2,-y,z+1/2'
'y+1/4,x+3/4,-z+1/4'
'-y+1/4,-x+3/4,z+1/4'
'x+1/2,y+1/2,z+1/2'
'-x+1/2,-y+1/2,-z+1/2'
'-y+3/4,x+1/4,z+3/4'
'y+3/4,-x+1/4,-z+3/4'
'-x,-y+1/2,z'
'x,y+1/2,-z'
'y+3/4,-x+3/4,z+1/4'
'-y+3/4,x+3/4,-z+1/4'
'x+1/2,-y+1/2,-z+1/2'
'-x+1/2,y+1/2,z+1/2'
'-y+3/4,-x+3/4,-z+1/4'
'y+3/4,x+3/4,z+1/4'
'-x,y+1/2,-z'
'x,-y+1/2,z'
'y+3/4,x+1/4,-z+3/4'
'-y+3/4,-x+1/4,z+3/4'
loop_
_atom_site_label
_atom_site_type_symbol
_atom_site_fract_x
_atom_site_fract_y
_atom_site_fract_z
Zr1 Zr 0.0000 0.2500 0.3750
Cd1 Cd 0.0000 0.2500 0.7946

# Zr3Cd (SCAN, single point on PBEsol structure)
# * total magnetization: 0.0 Bohr magnetons per cell
# * DOS(E_F): 0.938 states/eV per atom
# * energy relative to the elements: -0.03 eV per atom
# * total DFT energy (no corrections): -122.6 eV/cell
data_Zr3Cd
_cell_length_a 3.0612
_cell_length_b 5.1685
_cell_length_c 5.4124
_cell_angle_alpha 90.00
_cell_angle_beta 90.00
_cell_angle_gamma 90.00
_symmetry_space_group_name_H-M 'P m m 2'
_symmetry_Int_Tables_number 25
loop_
_symmetry_equiv_pos_as_xyz
'x,y,z'
'-x,-y,z'
'-x,y,z'
'x,-y,z'
loop_
_atom_site_label
_atom_site_type_symbol
_atom_site_fract_x
_atom_site_fract_y
_atom_site_fract_z
Zr1 Zr 0.0000 0.0000 0.0000
Zr2 Zr 0.0000 0.5000 0.3542
Zr3 Zr 0.5000 0.5000 0.8583
Cd1 Cd 0.5000 0.0000 0.5097

# Zr5Cd (SCAN, single point on PBEsol structure)
# * total magnetization: 0.0 Bohr magnetons per cell
# * DOS(E_F): 1.005 states/eV per atom
# * energy relative to the elements: -0.03 eV per atom
# * total DFT energy (no corrections): -368.2 eV/cell
data_Zr5Cd
_cell_length_a 11.5565
_cell_length_b 3.1081
_cell_length_c 7.5178
_cell_angle_alpha 90.00
_cell_angle_beta 105.11
_cell_angle_gamma 90.00
_symmetry_space_group_name_H-M 'C 1 m 1'
_symmetry_Int_Tables_number 8
loop_
_symmetry_equiv_pos_as_xyz
'x,y,z'
'x,-y,z'
'x+1/2,y+1/2,z'
'x+1/2,-y+1/2,z'
loop_
_atom_site_label
_atom_site_type_symbol
_atom_site_fract_x
_atom_site_fract_y
_atom_site_fract_z
Zr1 Zr 0.0000 0.0000 0.0000
Zr2 Zr 0.0388 0.0000 0.6192
Zr3 Zr 0.1604 0.5000 0.3460
Zr4 Zr 0.2202 0.5000 0.9512
Zr5 Zr 0.3856 0.0000 0.2803
Cd1 Cd 0.3193 0.0000 0.6673

# Zr3Cd (SCAN, single point on PBEsol structure)
# * total magnetization: 0.0 Bohr magnetons per cell
# * DOS(E_F): 0.761 states/eV per atom
# * energy relative to the elements: -0.07 eV per atom
# * total DFT energy (no corrections): -245.6 eV/cell
data_Zr3Cd
_cell_length_a 3.1013
_cell_length_b 10.1687
_cell_length_c 5.4190
_cell_angle_alpha 90.00
_cell_angle_beta 90.00
_cell_angle_gamma 90.00
_symmetry_space_group_name_H-M 'I m m 2'
_symmetry_Int_Tables_number 44
loop_
_symmetry_equiv_pos_as_xyz
'x,y,z'
'-x,-y,z'
'-x,y,z'
'x,-y,z'
'x+1/2,y+1/2,z+1/2'
'-x+1/2,-y+1/2,z+1/2'
'-x+1/2,y+1/2,z+1/2'
'x+1/2,-y+1/2,z+1/2'
loop_
_atom_site_label
_atom_site_type_symbol
_atom_site_fract_x
_atom_site_fract_y
_atom_site_fract_z
Zr1 Zr 0.0000 0.0000 0.0000
Zr2 Zr 0.0000 0.2409 0.3578
Cd1 Cd 0.0000 0.5000 0.0247